Compound: Y2TcAsBr
Source: Alexandria via LeMat-Bulk
Functional: meta-GGA SCAN
Structure: single point on PBEsol structure

It has space group P4/mmm (No. 123), with a = 5.3692 Å, b = 5.3692 Å, c = 5.0968 Å, α = 90.00°, β = 90.00° and γ = 90.00°. Symmetry generates all atoms from Y at (0.0000, 0.5000, 0.0000), Tc at (0.0000, 0.0000, 0.5000), As at (0.5000, 0.5000, 0.0000) and Br at (0.5000, 0.5000, 0.5000).

The calculation puts the uncorrected formation energy at 0.488 eV/atom. Its density is 4.87 g/cm³. For the energy, the calculation gives -1.8809 Ry per atom.


Compound: ZrTcAsBr2
Source: Alexandria via LeMat-Bulk
Functional: meta-GGA SCAN
Structure: single point on PBEsol structure

It has space group P4/mmm (No. 123), with a = 4.9171 Å, b = 4.9171 Å, c = 4.7293 Å, α = 90.00°, β = 90.00° and γ = 90.00°. Symmetry generates all atoms from Zr at (0.0000, 0.0000, 0.0000), Tc at (0.5000, 0.5000, 0.5000), As at (0.5000, 0.5000, 0.0000) and Br at (0.0000, 0.5000, 0.5000).

The calculation puts the uncorrected formation energy at 0.521 eV/atom. Its density is 6.16 g/cm³. For the energy, the calculation gives -1.7973 Ry per atom.


Compound: TeAsBr2
Source: Alexandria via LeMat-Bulk
Functional: meta-GGA SCAN
Structure: single point on PBEsol structure

It has space group C2/m (No. 12), with a = 13.4964 Å, b = 3.3659 Å, c = 5.4988 Å, α = 90.00°, β = 113.89° and γ = 90.00°. Symmetry generates all atoms from Te at (0.0000, 0.0000, 0.0000), As at (0.0000, 0.5000, 0.5000) and Br at (0.1681, 0.0000, 0.6683).

The calculation puts the uncorrected formation energy at 0.167 eV/atom. Its density is 5.27 g/cm³. For the energy, the calculation gives -1.7583 Ry per atom.


Compound: TlTeAs2Br
Source: Alexandria via LeMat-Bulk
Functional: meta-GGA SCAN
Structure: single point on PBEsol structure

It has space group P4/mmm (No. 123), with a = 5.3225 Å, b = 5.3225 Å, c = 5.2412 Å, α = 90.00°, β = 90.00° and γ = 90.00°. Symmetry generates all atoms from Tl at (0.0000, 0.0000, 0.0000), Te at (0.5000, 0.5000, 0.5000), As at (0.0000, 0.5000, 0.0000) and Br at (0.0000, 0.0000, 0.5000).

The calculation puts the uncorrected formation energy at 0.813 eV/atom. Its density is 6.28 g/cm³. For the energy, the calculation gives -2.4312 Ry per atom.


Compound: ZnTeAs2Br
Source: Alexandria via LeMat-Bulk
Functional: meta-GGA SCAN
Structure: single point on PBEsol structure

It has space group P4/mmm (No. 123), with a = 5.3156 Å, b = 5.3156 Å, c = 5.5115 Å, α = 90.00°, β = 90.00° and γ = 90.00°. Symmetry generates all atoms from Zn at (0.0000, 0.0000, 0.0000), Te at (0.5000, 0.5000, 0.5000), As at (0.0000, 0.5000, 0.5000) and Br at (0.5000, 0.5000, 0.0000).

The calculation puts the uncorrected formation energy at 0.853 eV/atom. Its density is 4.51 g/cm³. For the energy, the calculation gives -1.5632 Ry per atom.


Compound: TiAsBr2
Source: Alexandria via LeMat-Bulk
Functional: meta-GGA SCAN
Structure: single point on PBEsol structure

It has space group I-42d (No. 122), with a = 9.1688 Å, b = 9.1688 Å, c = 4.9024 Å, α = 90.00°, β = 90.00° and γ = 90.00°. Symmetry generates all atoms from Ti at (0.0000, 0.0000, 0.0000), As at (0.0000, 0.0000, 0.5000) and Br at (0.1060, 0.7500, 0.1250).

The calculation puts the uncorrected formation energy at -0.464 eV/atom. Its density is 4.55 g/cm³. For the energy, the calculation gives -1.4147 Ry per atom.


Compound: YTiAsBr2
Source: Alexandria via LeMat-Bulk
Functional: meta-GGA SCAN
Structure: single point on PBEsol structure

It has space group P4/mmm (No. 123), with a = 4.8295 Å, b = 4.8295 Å, c = 5.1335 Å, α = 90.00°, β = 90.00° and γ = 90.00°. Symmetry generates all atoms from Y at (0.0000, 0.0000, 0.0000), Ti at (0.5000, 0.5000, 0.5000), As at (0.5000, 0.5000, 0.0000) and Br at (0.0000, 0.5000, 0.5000).

The calculation puts the uncorrected formation energy at -0.663 eV/atom. Its density is 5.15 g/cm³. For the energy, the calculation gives -1.5625 Ry per atom.


Compound: TlAs2Br
Source: Alexandria via LeMat-Bulk
Functional: meta-GGA SCAN
Structure: single point on PBEsol structure

It has space group Pmmm (No. 47), with a = 3.2722 Å, b = 5.2047 Å, c = 5.3261 Å, α = 90.00°, β = 90.00° and γ = 90.00°. Symmetry generates all atoms from Tl at (0.0000, 0.0000, 0.0000), As at (0.0000, 0.5000, 0.5000), As at (0.5000, 0.0000, 0.5000) and Br at (0.5000, 0.5000, 0.0000).

The calculation puts the uncorrected formation energy at 0.338 eV/atom. Its density is 7.95 g/cm³. For the energy, the calculation gives -2.4043 Ry per atom. As for the polymorph energy (0 for the lowest one): 54.0 kJ per mole of atoms.


Compound: TlAs2Br
Source: Alexandria via LeMat-Bulk
Functional: meta-GGA SCAN
Structure: single point on PBEsol structure

It has space group C2/m (No. 12), with a = 11.6954 Å, b = 3.7148 Å, c = 4.9212 Å, α = 90.00°, β = 96.12° and γ = 90.00°. Symmetry generates all atoms from Tl at (0.0000, 0.0000, 0.0000), As at (0.2307, 0.0000, 0.1590) and Br at (0.0000, 0.5000, 0.5000).

The calculation puts the uncorrected formation energy at -0.222 eV/atom. Its density is 6.78 g/cm³. For the energy, the calculation gives -2.4454 Ry per atom. As for the polymorph energy (0 for the lowest one): 0.0 kJ per mole of atoms.


Compound: TlAs2Br
Source: Alexandria via LeMat-Bulk
Functional: meta-GGA SCAN
Structure: single point on PBEsol structure

It has space group Fmmm (No. 69), with a = 5.8366 Å, b = 5.9921 Å, c = 11.1150 Å, α = 90.00°, β = 90.00° and γ = 90.00°. Symmetry generates all atoms from Tl at (0.0000, 0.0000, 0.0000), As at (0.0000, 0.2500, 0.2500) and Br at (0.0000, 0.0000, 0.5000).

The calculation puts the uncorrected formation energy at 0.270 eV/atom. Its density is 7.42 g/cm³. For the energy, the calculation gives -2.4093 Ry per atom. As for the polymorph energy (0 for the lowest one): 47.4 kJ per mole of atoms.


Compound: TlAs2Br
Source: Alexandria via LeMat-Bulk
Functional: meta-GGA SCAN
Structure: single point on PBEsol structure

It has space group Fm-3m (No. 225), with a = 7.0447 Å, b = 7.0447 Å, c = 7.0447 Å, α = 90.00°, β = 90.00° and γ = 90.00°. Symmetry generates all atoms from Tl at (0.0000, 0.0000, 0.0000), As at (0.2500, 0.2500, 0.2500) and Br at (0.0000, 0.0000, 0.5000).

The calculation puts the uncorrected formation energy at 0.559 eV/atom. Its density is 8.25 g/cm³. For the energy, the calculation gives -2.3880 Ry per atom. As for the polymorph energy (0 for the lowest one): 75.3 kJ per mole of atoms.


Compound: TlAs2Br
Source: Alexandria via LeMat-Bulk
Functional: meta-GGA SCAN
Structure: single point on PBEsol structure

It has space group Immm (No. 71), with a = 3.4017 Å, b = 4.8928 Å, c = 11.0502 Å, α = 90.00°, β = 90.00° and γ = 90.00°. Symmetry generates all atoms from Tl at (0.0000, 0.0000, 0.0000), As at (0.0000, 0.5000, 0.2749) and Br at (0.0000, 0.0000, 0.5000).

The calculation puts the uncorrected formation energy at 0.308 eV/atom. Its density is 7.84 g/cm³. For the energy, the calculation gives -2.4065 Ry per atom. As for the polymorph energy (0 for the lowest one): 51.1 kJ per mole of atoms.